No. 1
Material: Mn4CuOs
Method: DFT, GGA-PBE
State: optimized geometry

Cell: 4.632 4.632 4.632 Å, 60.00 60.00 60.00°
Fractional coordinates of all 6 atoms:
Mn  0.376  0.376  0.376
Mn  0.376  0.376  0.871
Mn  0.376  0.871  0.376
Mn  0.871  0.376  0.376
Cu  0.750  0.750  0.750
Os  0.000  0.000  0.000

The calculation puts the total energy at -0.31115 Ha/atom. Its crystal system is cubic. The value obtained for the density of states at the Fermi level is 8.3 states/eV per cell. As for the space-group type: F-43m, No. 216.

---

No. 2
Material: Li2AgSn
Method: DFT, GGA-PBE
State: optimized geometry

Cell: 6.007 6.007 6.007 Å, 103.05 103.05 123.27°
Fractional coordinates of all 8 atoms:
Li  0.104  0.625  0.979
Li  0.375  0.354  0.479
Li  0.646  0.125  0.021
Li  0.875  0.896  0.521
Ag  0.000  0.000  0.000
Ag  0.750  0.250  0.500
Sn  0.250  0.750  0.500
Sn  0.500  0.500  0.000

The calculation puts the total energy at -0.10108 Ha/atom. Its crystal system is tetragonal. The value obtained for the density of states at the Fermi level is 3.0 states/eV per cell. As for the space-group type: I-42d, No. 122.

---

No. 3
Material: MnMo2Ir
Method: DFT, GGA-PBE
State: optimized geometry

Cell: 2.707 2.707 8.042 Å, 90.00 90.00 90.00°
Fractional coordinates of all 4 atoms:
Mn  0.000  0.000  0.000
Mo  0.000  0.000  0.528
Mo  0.500  0.500  0.247
Ir  0.500  0.500  0.771

The value obtained for the polymorph energy (0 for the lowest one) is 95 meV/atom. The calculation puts the total energy at -0.36382 Ha/atom. Its crystal system is tetragonal. The value obtained for the density of states at the Fermi level is 4.5 states/eV per cell. As for the space-group type: P4mm, No. 99.

---

No. 4
Material: La15Tl4Hg
Method: DFT, GGA-PBE
State: optimized geometry

Cell: 5.071 5.071 25.234 Å, 90.00 90.00 90.00°
Fractional coordinates of all 20 atoms:
La  0.000  0.000  0.000
La  0.000  0.000  0.198
La  0.000  0.000  0.400
La  0.000  0.000  0.600
La  0.000  0.000  0.802
La  0.000  0.500  0.098
La  0.000  0.500  0.299
La  0.000  0.500  0.500
La  0.000  0.500  0.701
La  0.000  0.500  0.902
La  0.500  0.000  0.098
La  0.500  0.000  0.299
La  0.500  0.000  0.500
La  0.500  0.000  0.701
La  0.500  0.000  0.902
Tl  0.500  0.500  0.198
Tl  0.500  0.500  0.399
Tl  0.500  0.500  0.601
Tl  0.500  0.500  0.802
Hg  0.500  0.500  0.000

The calculation puts the total energy at -0.16243 Ha/atom. Its crystal system is tetragonal. The value obtained for the density of states at the Fermi level is 28.3 states/eV per cell. As for the space-group type: P4/mmm, No. 123.

---

No. 5
Material: Mn2VTe2
Method: DFT, GGA-PBE
State: optimized geometry

Cell: 5.316 5.316 5.316 Å, 123.37 123.37 84.25°
Fractional coordinates of all 5 atoms:
Mn  0.135  0.135  0.000
Mn  0.865  0.865  0.000
V  0.500  0.500  0.000
Te  0.250  0.750  0.500
Te  0.750  0.250  0.500

The value obtained for the polymorph energy (0 for the lowest one) is 306 meV/atom. Its uncorrected formation energy is 12.40 kcal/mol of atoms. The calculation puts the total energy at -0.22823 Ha/atom. Its crystal system is tetragonal. The value obtained for the density of states at the Fermi level is 7.6 states/eV per cell. As for the space-group type: I4/mmm, No. 139.

---

No. 6
Material: TbNdP
Method: DFT, GGA-PBE
State: optimized geometry

Cell: 6.577 6.577 5.750 Å, 90.00 90.00 128.61°
Fractional coordinates of all 6 atoms:
Tb  0.000  0.000  0.000
Tb  0.000  0.000  0.500
Nd  0.291  0.709  0.750
Nd  0.709  0.291  0.250
P  0.203  0.797  0.250
P  0.797  0.203  0.750

The calculation puts the total energy at -0.19961 Ha/atom. Its crystal system is orthorhombic. The value obtained for the density of states at the Fermi level is 8.1 states/eV per cell. As for the space-group type: Cmcm, No. 63.

---

No. 7
Material: Y3TiRe
Method: DFT, GGA-PBE
State: optimized geometry

Cell: 5.370 5.370 5.370 Å, 90.00 90.00 90.00°
Fractional coordinates of all 5 atoms:
Y  0.000  0.000  0.500
Y  0.000  0.500  0.000
Y  0.500  0.000  0.000
Ti  0.500  0.500  0.500
Re  0.000  0.000  0.000

The value obtained for the polymorph energy (0 for the lowest one) is 0 meV/atom. The calculation puts the total energy at -0.26851 Ha/atom. Its crystal system is cubic. The value obtained for the density of states at the Fermi level is 7.1 states/eV per cell. As for the space-group type: Pm-3m, No. 221.

---

No. 8
Material: Ga3HgSe
Method: DFT, GGA-PBE
State: optimized geometry

Cell: 5.155 5.155 5.155 Å, 90.00 90.00 90.00°
Fractional coordinates of all 5 atoms:
Ga  0.000  0.000  0.500
Ga  0.000  0.500  0.000
Ga  0.500  0.000  0.000
Hg  0.000  0.000  0.000
Se  0.500  0.500  0.500

The value obtained for the polymorph energy (0 for the lowest one) is 0 meV/atom. Its uncorrected formation energy is 6.65 kcal/mol of atoms. The calculation puts the total energy at -0.08397 Ha/atom. Its crystal system is cubic. The value obtained for the density of states at the Fermi level is 1.3 states/eV per cell. As for the space-group type: Pm-3m, No. 221.

---

No. 9
Material: K4Th3FeSe8
Method: DFT, GGA-PBE
State: optimized geometry

Cell: 9.168 9.168 9.168 Å, 54.73 54.73 54.73°
Fractional coordinates of all 16 atoms:
K  0.000  0.000  0.000
K  0.000  0.500  0.500
K  0.500  0.000  0.500
K  0.500  0.500  0.000
Th  0.000  0.000  0.500
Th  0.000  0.500  0.000
Th  0.500  0.000  0.000
Fe  0.500  0.500  0.500
Se  0.240  0.240  0.240
Se  0.245  0.730  0.730
Se  0.270  0.270  0.755
Se  0.270  0.755  0.270
Se  0.730  0.245  0.730
Se  0.730  0.730  0.245
Se  0.755  0.270  0.270
Se  0.760  0.760  0.760

Its uncorrected formation energy is -30.81 kcal/mol of atoms. The calculation puts the total energy at -0.19377 Ha/atom. Its crystal system is trigonal. The value obtained for the density of states at the Fermi level is 9.9 states/eV per cell. As for the space-group type: R-3m, No. 166.

---

No. 10
Material: CsK2Tl2
Method: DFT, GGA-PBE
State: optimized geometry

Cell: 7.929 7.929 7.361 Å, 103.29 103.29 37.39°
Fractional coordinates of all 5 atoms:
Cs  0.000  0.000  0.000
K  0.348  0.348  0.434
K  0.652  0.652  0.566
Tl  0.271  0.271  0.899
Tl  0.729  0.729  0.101

The value obtained for the polymorph energy (0 for the lowest one) is 0 meV/atom. The calculation puts the total energy at -0.05905 Ha/atom. Its crystal system is monoclinic. The value obtained for the density of states at the Fermi level is 4.1 states/eV per cell. As for the space-group type: C2/m, No. 12.

---

No. 11
Material: SmZrBe
Method: DFT, GGA-PBE
State: optimized geometry

Cell: 6.369 6.369 6.369 Å, 149.96 149.96 43.00°
Fractional coordinates of all 3 atoms:
Sm  0.000  0.000  0.000
Zr  0.291  0.291  0.000
Be  0.670  0.670  0.000

The calculation puts the total energy at -0.20315 Ha/atom. Its crystal system is tetragonal. The value obtained for the density of states at the Fermi level is 2.4 states/eV per cell. As for the space-group type: I4mm, No. 107.

---

No. 12
Material: Y2Sc3Co2
Method: DFT, GGA-PBE
State: optimized geometry

Cell: 6.012 6.012 9.020 Å, 118.38 118.38 34.23°
Fractional coordinates of all 7 atoms:
Y  0.095  0.095  0.392
Y  0.905  0.905  0.608
Sc  0.299  0.299  0.219
Sc  0.500  0.500  0.000
Sc  0.701  0.701  0.781
Co  0.126  0.126  0.913
Co  0.874  0.874  0.087

The calculation puts the total energy at -0.24451 Ha/atom. Its crystal system is monoclinic. The value obtained for the density of states at the Fermi level is 7.4 states/eV per cell. As for the space-group type: C2/m, No. 12.